1.
Here is crystalline CuAsH22C27IN at its relaxed geometry from OQMD via LeMat-Bulk. Energies are from PBE.

Computed properties:
SG: P-1, No. 2
Final energy, eV/atom: -6.437

a b c (Å): 9.2384 10.8904 13.4850
angles (deg): 108.82 106.88 96.11
Positions (direct):
Cu: 0.0823 0.0791 0.4664
Cu: 0.9177 0.9209 0.5336
As: 0.0150 0.0406 0.2737
As: 0.9850 0.9594 0.7263
H: 0.0500 0.8327 0.0674
H: 0.0791 0.3185 0.4605
H: 0.0877 0.4904 0.8378
H: 0.1112 0.3914 0.1081
H: 0.1228 0.5469 0.4576
H: 0.1463 0.2141 0.7312
H: 0.1533 0.1905 0.1502
H: 0.1977 0.0173 0.9665
H: 0.2071 0.7817 0.7049
H: 0.2491 0.5806 0.7462
H: 0.2754 0.7858 0.0088
H: 0.3025 0.5479 0.2651
H: 0.3520 0.7861 0.2802
H: 0.3536 0.1488 0.3700
H: 0.3608 0.4025 0.8718
H: 0.3780 0.7021 0.5655
H: 0.3844 0.0691 0.6067
H: 0.4053 0.3677 0.3204
H: 0.4111 0.2055 0.1071
H: 0.4205 0.8978 0.6894
H: 0.4597 0.0767 0.8708
H: 0.4920 0.3998 0.0611
H: 0.5080 0.6002 0.9389
H: 0.5403 0.9233 0.1292
H: 0.5795 0.1022 0.3106
H: 0.5889 0.7945 0.8929
H: 0.5947 0.6323 0.6796
H: 0.6156 0.9309 0.3933
H: 0.6220 0.2979 0.4345
H: 0.6392 0.5975 0.1282
H: 0.6464 0.8512 0.6300
H: 0.6480 0.2139 0.7198
H: 0.6975 0.4521 0.7349
H: 0.7246 0.2142 0.9912
H: 0.7509 0.4194 0.2538
H: 0.7929 0.2183 0.2951
H: 0.8023 0.9827 0.0335
H: 0.8467 0.8095 0.8498
H: 0.8537 0.7859 0.2688
H: 0.8772 0.4531 0.5424
H: 0.8888 0.6086 0.8919
H: 0.9123 0.5096 0.1622
H: 0.9209 0.6815 0.5395
H: 0.9500 0.1673 0.9326
C: 0.0247 0.8101 0.7755
C: 0.0415 0.3544 0.1499
C: 0.0649 0.2403 0.1730
C: 0.0711 0.5806 0.8213
C: 0.1385 0.7451 0.7474
C: 0.1574 0.1044 0.8404
C: 0.1616 0.6311 0.7702
C: 0.1657 0.8926 0.1206
C: 0.1866 0.9958 0.2209
C: 0.1917 0.3875 0.5070
C: 0.2039 0.2129 0.8140
C: 0.2162 0.5143 0.5065
C: 0.2319 0.1023 0.9461
C: 0.2929 0.8663 0.0876
C: 0.3132 0.3434 0.5679
C: 0.3237 0.3191 0.8935
C: 0.3361 0.0709 0.2897
C: 0.3520 0.2088 0.0254
C: 0.3617 0.6033 0.5690
C: 0.3974 0.3174 0.9992
C: 0.4079 0.1733 0.6158
C: 0.4170 0.6140 0.3117
C: 0.4412 0.9433 0.1549
C: 0.4435 0.7444 0.3203
C: 0.4608 0.4336 0.6319
C: 0.4627 0.0450 0.2562
C: 0.4811 0.5646 0.6319
C: 0.5189 0.4354 0.3681
C: 0.5373 0.9550 0.7438
C: 0.5392 0.5664 0.3681
C: 0.5565 0.2556 0.6797
C: 0.5588 0.0567 0.8451
C: 0.5830 0.3860 0.6883
C: 0.5921 0.8267 0.3842
C: 0.6026 0.6826 0.0008
C: 0.6383 0.3967 0.4310
C: 0.6480 0.7912 0.9746
C: 0.6639 0.9291 0.7103
C: 0.6763 0.6809 0.1065
C: 0.6868 0.6566 0.4321
C: 0.7071 0.1337 0.9124
C: 0.7681 0.8977 0.0539
C: 0.7838 0.4857 0.4935
C: 0.7961 0.7871 0.1860
C: 0.8083 0.6125 0.4930
C: 0.8134 0.0042 0.7791
C: 0.8343 0.1074 0.8794
C: 0.8384 0.3689 0.2298
C: 0.8426 0.8956 0.1596
C: 0.8615 0.2549 0.2526
C: 0.9289 0.4194 0.1787
C: 0.9351 0.7597 0.8270
C: 0.9585 0.6456 0.8501
C: 0.9753 0.1899 0.2245
I: 0.1402 0.8414 0.4615
I: 0.8598 0.1586 0.5385
N: 0.2889 0.2134 0.5615
N: 0.7111 0.7866 0.4385



2.
Here is crystalline SiAgPt2 at its relaxed geometry from OQMD via LeMat-Bulk. Energies are from PBE.

Computed properties:
SG: F-43m, No. 216
Final energy, eV/atom: -5.071

a b c (Å): 6.3038 6.3038 6.3038
angles (deg): 90.00 90.00 90.00
Positions (direct):
Si: 0.0000 0.0000 0.0000
Si: 0.0000 0.5000 0.5000
Si: 0.5000 0.0000 0.5000
Si: 0.5000 0.5000 0.0000
Ag: 0.2500 0.2500 0.2500
Ag: 0.2500 0.7500 0.7500
Ag: 0.7500 0.2500 0.7500
Ag: 0.7500 0.7500 0.2500
Pt: 0.0000 0.0000 0.5000
Pt: 0.0000 0.5000 0.0000
Pt: 0.2500 0.2500 0.7500
Pt: 0.2500 0.7500 0.2500
Pt: 0.5000 0.0000 0.0000
Pt: 0.5000 0.5000 0.5000
Pt: 0.7500 0.2500 0.2500
Pt: 0.7500 0.7500 0.7500



3.
Here is crystalline SrZrBePd at its relaxed geometry from OQMD via LeMat-Bulk. Energies are from PBE.

Computed properties:
SG: F-43m, No. 216
E above lowest polymorph, meV per atom: 86
Final energy, eV/atom: -4.559

a b c (Å): 6.7070 6.7070 6.7070
angles (deg): 90.00 90.00 90.00
Positions (direct):
Sr: 0.0000 0.0000 0.0000
Sr: 0.0000 0.5000 0.5000
Sr: 0.5000 0.0000 0.5000
Sr: 0.5000 0.5000 0.0000
Zr: 0.2500 0.2500 0.2500
Zr: 0.2500 0.7500 0.7500
Zr: 0.7500 0.2500 0.7500
Zr: 0.7500 0.7500 0.2500
Be: 0.2500 0.2500 0.7500
Be: 0.2500 0.7500 0.2500
Be: 0.7500 0.2500 0.2500
Be: 0.7500 0.7500 0.7500
Pd: 0.0000 0.0000 0.5000
Pd: 0.0000 0.5000 0.0000
Pd: 0.5000 0.0000 0.0000
Pd: 0.5000 0.5000 0.5000



4.
Here is crystalline Ho2Ga3Pt4 at its relaxed geometry from OQMD via LeMat-Bulk. Energies are from PBE.

Computed properties:
SG: Cmce, No. 64
Final energy, eV/atom: -5.743

a b c (Å): 8.1388 8.1388 7.5963
angles (deg): 90.00 90.00 139.72
Positions (direct):
Ho: 0.1063 0.8937 0.9083
Ho: 0.3937 0.6063 0.4083
Ho: 0.6063 0.3937 0.5917
Ho: 0.8937 0.1063 0.0917
Ga: 0.0000 0.0000 0.5000
Ga: 0.0191 0.4809 0.7500
Ga: 0.4809 0.0191 0.2500
Ga: 0.5000 0.5000 0.0000
Ga: 0.5191 0.9809 0.7500
Ga: 0.9809 0.5191 0.2500
Pt: 0.1803 0.8197 0.5252
Pt: 0.1907 0.3093 0.7500
Pt: 0.3093 0.1907 0.2500
Pt: 0.3197 0.6803 0.0252
Pt: 0.6803 0.3197 0.9748
Pt: 0.6907 0.8093 0.7500
Pt: 0.8093 0.6907 0.2500
Pt: 0.8197 0.1803 0.4748



5.
Here is crystalline Er3Sb2S at its relaxed geometry from OQMD via LeMat-Bulk. Energies are from PBE.

Computed properties:
SG: P-3m1, No. 164
Final energy, eV/atom: -5.686

a b c (Å): 4.1984 4.1984 10.2593
angles (deg): 90.00 90.00 120.00
Positions (direct):
Er: 0.0000 0.0000 0.0000
Er: 0.3333 0.6667 0.6448
Er: 0.6667 0.3333 0.3552
Sb: 0.3333 0.6667 0.1783
Sb: 0.6667 0.3333 0.8217
S: 0.0000 0.0000 0.5000



6.
Here is crystalline KOs at its relaxed geometry from OQMD via LeMat-Bulk. Energies are from PBE.

Computed properties:
SG: P-6m2, No. 187
E above lowest polymorph, meV per atom: 0
Final energy, eV/atom: -4.861

a b c (Å): 2.7744 2.7744 5.8065
angles (deg): 90.00 90.00 120.00
Positions (direct):
K: 0.0000 0.0000 0.0000
Os: 0.6667 0.3333 0.5000



7.
Here is crystalline Hg2AsAu at its relaxed geometry from OQMD via LeMat-Bulk. Energies are from PBE.

Computed properties:
SG: F-43m, No. 216
E above lowest polymorph, meV per atom: 0
Final energy, eV/atom: -1.820

a b c (Å): 6.9633 6.9633 6.9633
angles (deg): 90.00 90.00 90.00
Positions (direct):
Hg: 0.0000 0.0000 0.0000
Hg: 0.0000 0.5000 0.5000
Hg: 0.2500 0.2500 0.2500
Hg: 0.2500 0.7500 0.7500
Hg: 0.5000 0.0000 0.5000
Hg: 0.5000 0.5000 0.0000
Hg: 0.7500 0.2500 0.7500
Hg: 0.7500 0.7500 0.2500
As: 0.0000 0.0000 0.5000
As: 0.0000 0.5000 0.0000
As: 0.5000 0.0000 0.0000
As: 0.5000 0.5000 0.5000
Au: 0.2500 0.2500 0.7500
Au: 0.2500 0.7500 0.2500
Au: 0.7500 0.2500 0.2500
Au: 0.7500 0.7500 0.7500



8.
Here is crystalline Al10Co3 at its relaxed geometry from OQMD via LeMat-Bulk. Energies are from PBE.

Computed properties:
SG: R-3m, No. 166
E above lowest polymorph, meV per atom: 64
Final energy, eV/atom: -4.513

a b c (Å): 8.7056 8.7056 8.7056
angles (deg): 34.67 34.67 34.67
Positions (direct):
Al: 0.0483 0.0483 0.0483
Al: 0.0865 0.5824 0.5824
Al: 0.1536 0.1536 0.1536
Al: 0.4176 0.4176 0.9135
Al: 0.4176 0.9135 0.4176
Al: 0.5824 0.0865 0.5824
Al: 0.5824 0.5824 0.0865
Al: 0.8464 0.8464 0.8464
Al: 0.9135 0.4176 0.4176
Al: 0.9517 0.9517 0.9517
Co: 0.3326 0.3326 0.3326
Co: 0.5000 0.5000 0.5000
Co: 0.6674 0.6674 0.6674